Density functional theory data (GGA-PBE) for crystalline PmPa6S8 at its relaxed geometry.

## Properties
Energy: -116.11 eV/cell
Formation energy (no corrections): -1.42 eV/atom
N(E_F): 23.67 states/eV per cell
Mass density: 9083 kg/m3

Geometry as extended XYZ:
```
15
Lattice="4.1399 2.3902 5.5047 -4.1399 2.3902 5.5047 0.0000 -4.7803 5.5047" Properties=species:S:1:pos:R:3 pbc="T T T"
Pm 0.0000 0.0000 0.0000
Pa -1.5709 -2.1150 6.7765
Pa -2.6171 0.3030 9.7376
Pa -1.0462 2.4179 6.7765
Pa 1.0462 -2.4179 9.7376
Pa 2.6171 -0.3030 6.7765
Pa 1.5709 2.1150 9.7376
S -2.9145 0.3481 7.0037
S -1.7587 -2.3500 9.5104
S 0.0000 0.0000 5.4965
S 1.1558 -2.6981 7.0037
S -1.1558 2.6981 9.5104
S 0.0000 0.0000 11.0176
S 1.7587 2.3500 7.0037
S 2.9145 -0.3481 9.5104
```